1.
! PBE-GGA CsNa, relaxed; values from VASP
! total energy = -0.922 eV/atom
&SYSTEM
  ibrav = 0, nat = 16, ntyp = 2
/
ATOMIC_SPECIES
Na 22.99 Na.upf
Cs 132.91 Cs.upf
ATOMIC_POSITIONS crystal
Na 0.400 0.600 0.400
Cs 0.708 0.708 0.292
Cs 0.208 0.792 0.208
Cs 0.292 0.292 0.292
Na 0.600 0.600 0.600
Cs 0.792 0.208 0.208
Na 0.600 0.400 0.400
Na 0.100 0.100 0.100
Cs 0.792 0.792 0.792
Cs 0.208 0.208 0.792
Cs 0.292 0.708 0.708
Na 0.900 0.900 0.100
Cs 0.708 0.292 0.708
Na 0.100 0.900 0.900
Na 0.400 0.400 0.600
Na 0.900 0.100 0.900
CELL_PARAMETERS angstrom
12.630 0.000 0.000
0.000 12.630 0.000
0.000 0.000 12.630


2.
! PBE-GGA K3Pu3SnTe8, relaxed; values from VASP
! uncorrected formation energy = -13.60 eV per formula unit
&SYSTEM
  ibrav = 0, nat = 15, ntyp = 4
/
ATOMIC_SPECIES
Pu 244.00 Pu.upf
Te 127.60 Te.upf
K 39.10 K.upf
Sn 118.71 Sn.upf
ATOMIC_POSITIONS crystal
Pu 0.500 0.000 0.500
Te 0.264 0.528 0.292
K 0.000 0.000 0.000
K 0.000 0.500 0.000
K 0.500 0.500 0.000
Te 0.238 0.477 0.705
Pu 0.500 0.500 0.500
Te 0.728 0.966 0.705
Sn 0.000 0.000 0.500
Te 0.272 0.034 0.295
Te 0.762 0.034 0.295
Te 0.238 0.966 0.705
Pu 0.000 0.500 0.500
Te 0.736 0.472 0.708
Te 0.762 0.523 0.295
CELL_PARAMETERS angstrom
-1.027 6.868 -5.774
-6.290 -6.467 0.491
0.581 6.313 7.405


3.
! PBE-GGA SmInAg2I6, relaxed; values from VASP
! uncorrected formation energy = -7.16 eV per formula unit
&SYSTEM
  ibrav = 0, nat = 10, ntyp = 4
/
ATOMIC_SPECIES
I 126.90 I.upf
Ag 107.87 Ag.upf
In 114.82 In.upf
Sm 150.36 Sm.upf
ATOMIC_POSITIONS crystal
I 0.463 0.074 0.212
I 0.154 0.232 0.748
I 0.152 0.388 0.212
Ag 0.465 0.732 0.183
I 0.530 0.921 0.748
I 0.841 0.608 0.748
I 0.839 0.764 0.212
Ag 0.528 0.264 0.777
In 0.996 0.498 0.480
Sm 0.996 0.998 0.980
CELL_PARAMETERS angstrom
8.061 0.001 -0.003
-4.029 6.981 0.000
-4.030 -2.327 7.858


4.
! PBE-GGA Sm3Ho4Th5, relaxed; values from VASP
! total energy = -5.751 eV/atom
&SYSTEM
  ibrav = 0, nat = 12, ntyp = 3
/
ATOMIC_SPECIES
Sm 150.36 Sm.upf
Th 232.04 Th.upf
Ho 164.93 Ho.upf
ATOMIC_POSITIONS crystal
Sm 0.587 0.176 0.676
Sm 0.000 0.500 0.500
Th 0.755 0.497 0.000
Ho 0.080 0.166 0.669
Th 0.500 0.500 0.500
Th 0.829 0.165 0.160
Th 0.245 0.503 0.000
Ho 0.664 0.832 0.834
Ho 0.336 0.168 0.166
Sm 0.413 0.824 0.324
Th 0.171 0.835 0.840
Ho 0.920 0.834 0.331
CELL_PARAMETERS angstrom
6.833 -0.365 -2.045
4.371 4.573 -4.883
-0.485 1.886 10.542


- Which formula does entry 3 have?
  SmInAg2I6